6
Lattice="3.9998 2.3093 6.5317 -3.9998 2.3093 6.5317 0.0000 -4.6186 6.5317" Properties=species:S:1:pos:R:3 comment="Mo2Cl | the Open Quantum Materials Database | PBE-GGA | relaxed" energy_ev_per_atom=-5.024 pbc="T T T"
Cl 0.0000 0.0000 4.8987
Cl 0.0000 0.0000 9.7975
Mo 1.9999 1.1547 10.6140
Mo -1.9999 1.1547 10.6140
Mo 0.0000 0.0000 7.3481
Mo 0.0000 -2.3093 10.6140

2
Lattice="0.0000 2.6829 2.6829 2.6829 0.0000 2.6829 2.6829 2.6829 0.0000" Properties=species:S:1:pos:R:3 comment="MoCl | the Open Quantum Materials Database | PBE-GGA | relaxed" energy_ev_per_atom=-5.378 pbc="T T T"
Cl 0.0000 0.0000 0.0000
Mo 1.3414 1.3414 1.3414

48
Lattice="-9.2177 1.5566 7.0645 2.5036 -16.3050 6.8593 3.6766 2.3636 4.2764" Properties=species:S:1:pos:R:3 comment="MoCl5 | the Open Quantum Materials Database | PBE-GGA | relaxed" energy_ev_per_atom=-4.126 pbc="T T T"
Cl -6.1690 -2.7044 7.4559
Cl -6.5521 0.4282 6.1432
Cl -5.5945 -5.8084 8.7669
Cl -4.7930 -9.2256 10.2556
Cl -4.3128 -12.3528 11.5712
Cl -8.0732 -0.4875 8.9528
Cl -7.5924 -3.6186 10.2701
Cl -2.4459 -7.7429 8.4452
Cl -1.4838 -14.0086 11.0811
Cl -1.9895 -10.8464 9.8419
Cl 2.6607 -11.5981 6.3578
Cl 2.2664 -8.4546 5.0333
Cl 3.2285 -14.7204 7.6692
Cl -3.0915 -1.0261 5.8542
Cl -2.6107 -4.1573 7.1715
Cl 0.7830 -9.3822 7.8482
Cl 1.2632 -12.5094 9.1638
Cl -0.7330 0.4280 4.0187
Cl 0.2246 -5.8086 6.6423
Cl -0.2748 -2.6563 5.4187
Cl -2.7627 -9.7285 12.7815
Cl -3.2622 -6.5762 11.5579
Cl -2.3045 -12.8128 14.1815
Cl -4.3008 0.1246 9.0364
Cl -3.8206 -3.0027 10.3520
Cl -0.4268 -8.2276 11.0287
Cl 0.0540 -11.3587 12.3460
Cl -6.2661 2.3355 10.5310
Cl -5.3040 -3.9302 13.1669
Cl -5.6983 -0.7868 11.8424
Cl -1.0481 -1.5385 8.3583
Cl -1.5537 1.6238 7.1191
Cl -0.5916 -4.6420 9.7550
Cl 4.5548 -8.7662 7.9301
Cl 5.0356 -11.8974 9.2474
Cl 1.2752 -0.0320 6.6290
Cl 1.7554 -3.1592 7.9446
Cl 2.5570 -6.5765 9.4333
Cl 3.5146 -12.8131 12.0570
Cl 3.1315 -9.6805 10.7443
Mo 0.7857 -10.0461 5.6651
Mo 1.3308 -13.5966 7.1588
Mo -2.6477 -8.5121 10.5647
Mo -2.1025 -12.0626 12.0583
Mo -0.9351 -0.3222 6.1419
Mo -0.3899 -3.8728 7.6356
Mo -4.3684 1.2118 11.0415
Mo -3.8232 -2.3387 12.5351

7
Lattice="-3.9672 3.9672 3.9672 3.9672 -3.9672 3.9672 3.9672 3.9672 -3.9672" Properties=species:S:1:pos:R:3 comment="MoCl6 | the Open Quantum Materials Database | PBE-GGA | relaxed" energy_ev_per_atom=-3.847 pbc="T T T"
Cl 0.0000 0.0000 2.3059
Cl 0.0000 0.0000 5.6284
Cl 0.0000 2.3059 0.0000
Cl 2.3059 0.0000 0.0000
Cl 0.0000 5.6284 0.0000
Cl 5.6284 0.0000 0.0000
Mo 0.0000 0.0000 0.0000

20
Lattice="-7.0566 -0.2371 6.0191 4.0830 -6.5860 0.7341 4.3762 6.2468 3.2768" Properties=species:S:1:pos:R:3 comment="MoNCl3 | the Open Quantum Materials Database | PBE-GGA | relaxed" energy_ev_per_atom=-5.593 pbc="T T T"
Cl -2.7659 -4.4941 5.9605
Cl -1.7228 0.2239 2.3868
Cl 0.0415 -3.7286 3.9199
Cl -3.7066 -1.2941 6.8303
Cl 1.9122 1.6576 2.3221
Cl -2.0923 1.5792 5.9316
Cl 3.4948 -2.1556 4.0984
Cl -0.5096 -2.2340 7.7079
Cl 5.1091 0.7177 3.1997
Cl 1.3611 3.1522 6.1101
Cl 3.1253 -0.8003 7.6432
Cl 4.1685 3.9177 4.0695
Mo -0.4679 -1.6148 2.9409
Mo -1.5113 -0.5884 6.4434
Mo 2.9139 0.0120 3.5866
Mo 1.8705 1.0384 7.0890
N -1.2169 -1.1954 4.8837
N 1.0454 -0.8966 3.2325
N 0.3571 0.3202 6.7975
N 2.6195 0.6190 5.1463

44
Lattice="-2.6116 -3.5552 9.2119 2.8215 -5.8743 -1.4672 16.6047 7.1218 3.4176" Properties=species:S:1:pos:R:3 comment="Mo2NCl8 | the Open Quantum Materials Database | PBE-GGA | relaxed" energy_ev_per_atom=-4.805 pbc="T T T"
Cl -1.3777 -4.0945 7.6314
Cl 1.8081 -6.1084 2.4124
Cl 2.4894 -3.5365 -0.4939
Cl 0.5478 -3.7742 4.5596
Cl 1.9796 -0.9103 1.6146
Cl 2.8256 -6.2818 6.0039
Cl 4.2586 -3.4230 3.0591
Cl 2.3126 -3.6642 8.1213
Cl 2.9901 -1.0855 5.2034
Cl 6.1901 -3.1034 -0.0151
Cl 6.0596 -5.9014 7.0223
Cl 5.9493 -0.3665 3.3128
Cl 5.2672 -3.6360 9.2603
Cl 7.1765 -3.1132 4.3421
Cl 6.1116 -1.0970 6.5582
Cl 9.4727 -2.7722 1.0454
Cl 8.6120 -4.0466 8.4628
Cl 8.1965 1.4374 5.1165
Cl 10.0061 1.6602 1.6235
Cl 9.5184 -1.6045 5.9209
Cl 12.0204 -0.9688 2.4193
Cl 9.3886 0.9006 8.6172
Cl 11.8876 1.5399 5.1180
Cl 11.3961 -1.7295 9.4239
Cl 13.2061 -1.5087 5.9170
Cl 12.7969 3.9877 2.5754
Cl 11.9402 2.7017 9.9904
Cl 15.2927 1.0269 4.4802
Cl 13.5287 0.0100 10.9903
Cl 14.2325 3.0425 6.6990
Cl 15.4566 0.2931 7.7248
Cl 15.3510 5.8355 4.0148
Mo 0.8087 -2.0807 0.0592
Mo 3.9956 -5.1130 7.5611
Mo 4.8231 -2.4033 5.0271
Mo 8.0302 -0.7139 4.4313
Mo 10.1092 -0.5979 1.2490
Mo 11.2983 0.5292 9.7897
Mo 13.3734 0.6415 6.6070
Mo 16.5806 2.3306 6.0111
N 4.4437 -3.6508 6.1266
N 8.9989 -0.6899 3.0271
N 12.4066 0.6169 8.0119
N 16.9609 3.5796 4.9129

40
Lattice="-3.8447 -8.5469 0.5520 6.1257 -0.0730 7.9697 -9.2580 9.0981 3.6152" Properties=species:S:1:pos:R:3 comment="Mo2NCl7 | the Open Quantum Materials Database | PBE-GGA | relaxed" energy_ev_per_atom=-5.062 pbc="T T T"
Cl 2.2489 -1.6086 4.1843
Cl 3.5442 -2.6883 8.4765
Cl 1.2204 -3.9600 6.2968
Cl 0.9841 -7.1588 8.3107
Cl -3.5541 -6.3870 3.0436
Cl -1.0910 -2.6318 4.2958
Cl 1.6466 -0.2492 7.2567
Cl -3.1871 -5.5738 6.1079
Cl -2.4552 0.7010 3.0469
Cl -1.0757 -2.0255 7.5493
Cl -5.3524 -1.3877 2.2511
Cl 2.0261 2.9541 8.9890
Cl -5.9187 -4.6063 4.1544
Cl -2.4834 1.7722 6.3075
Cl -4.4936 -1.2939 5.8295
Cl -1.0583 5.0846 7.9825
Cl -9.0031 -2.4758 3.1479
Cl -1.6246 1.8660 9.8858
Cl -5.9013 2.5038 4.5876
Cl -4.5218 -0.2227 9.0901
Cl -3.7899 6.0521 6.0290
Cl -8.6235 0.7275 4.8802
Cl -5.8860 3.1101 7.8411
Cl -3.4229 6.8653 9.0933
Cl -7.9611 7.6371 3.8262
Cl -8.1974 4.4383 5.8401
Cl -10.5212 3.1666 3.6604
Cl -9.2259 2.0869 7.9526
Mo 0.5049 -1.6799 5.6440
Mo 1.2926 -2.4892 8.2377
Mo -5.7153 -5.5902 1.9782
Mo -0.9368 1.5945 4.6633
Mo -6.0402 -1.1162 7.4736
Mo -1.2617 6.0685 10.1587
Mo -8.2696 2.9675 3.8992
Mo -7.4819 2.1582 6.4929
N 0.8930 -4.2060 9.1694
N -0.2374 0.0776 5.0758
N -6.7396 0.4007 7.0612
N -7.8700 4.6843 2.9675

20
Lattice="6.9679 0.0161 0.0180 0.4072 7.4231 0.0051 1.5860 2.1932 9.4288" Properties=species:S:1:pos:R:3 comment="MoS2N2Cl5 | the Open Quantum Materials Database | PBE-GGA | relaxed" energy_ev_per_atom=-4.813 pbc="T T T"
Cl 1.7437 0.3238 0.3322
Cl 3.7901 2.6522 1.4443
Cl 6.6240 0.8658 2.8378
Cl 4.3800 5.4697 3.0359
Cl 1.4005 3.5462 3.5371
Cl 7.5605 6.0862 5.9148
Cl 4.5810 4.1627 6.4161
Cl 2.3370 8.7666 6.6141
Cl 5.1709 6.9802 8.0077
Cl 7.2173 9.3086 9.1197
Mo 1.8053 1.6632 2.2292
Mo 7.1557 7.9692 7.2228
N 0.7197 3.0284 0.7371
N 3.0534 7.9880 3.3630
N 5.9076 1.6444 6.0889
N 8.2413 6.6039 8.7149
S 7.1426 4.6025 0.8544
S 3.7840 6.9791 4.3121
S 5.1770 2.6532 5.1398
S 1.8184 5.0299 8.5975

40
Lattice="-0.8401 -6.3015 6.3380 8.5526 2.2750 -2.1157 -3.0195 11.7026 7.1457" Properties=species:S:1:pos:R:3 comment="NaMo6Cl13 | the Open Quantum Materials Database | PBE-GGA | relaxed" energy_ev_per_atom=-5.533 pbc="T T T"
Cl 4.5210 -2.8888 3.5657
Cl 0.4572 -4.7557 5.7693
Cl 1.0678 -1.9295 3.7259
Cl 5.7595 1.0683 1.5876
Cl 7.5211 3.8943 0.1939
Cl 2.9966 -2.5089 6.6857
Cl 2.5868 1.7230 2.8432
Cl 5.0127 0.4957 5.3188
Cl -0.1225 -1.4909 8.1218
Cl 6.9432 3.1118 3.7781
Cl 5.3010 5.8125 2.3231
Cl 2.0293 1.4040 6.9385
Cl 0.1640 3.8190 5.0939
Cl 4.5289 3.8571 6.2742
Cl 2.6636 6.2721 4.4295
Cl -0.6081 1.8636 9.0450
Cl -2.2502 4.5643 7.5899
Cl 4.8155 9.1670 3.2462
Cl -0.3198 7.1804 6.0493
Cl 2.1062 5.9531 8.5248
Cl 1.6964 10.1850 4.6823
Cl -2.8282 3.7818 11.1741
Cl -1.0666 6.6078 9.7804
Cl 3.6252 9.6056 7.6422
Cl 4.2358 12.4318 5.5988
Cl 0.1720 10.5649 7.8024
Mo 2.4283 -3.7451 4.6273
Mo 5.6189 2.3168 -0.5541
Mo 3.4884 1.3378 0.6090
Mo 7.2824 6.3472 0.9584
Mo 6.5065 2.3592 6.0438
Mo 4.3925 1.6678 7.4373
Mo 0.3004 6.0084 3.9307
Mo -1.8136 5.3169 5.3243
Mo -2.5895 1.3289 10.4096
Mo 1.2045 6.3383 10.7590
Mo -0.9259 5.3593 11.9222
Mo 2.2647 11.4213 6.7407
Na 0.8207 0.5952 4.5981
Na 3.8722 7.0809 6.7700

10
Lattice="-6.3402 -3.5111 -0.3010 -4.7876 0.6889 5.4056 -6.1492 3.7012 -1.0511" Properties=species:S:1:pos:R:3 comment="NaTl2MoCl6 | the Open Quantum Materials Database | PBE-GGA | relaxed" energy_ev_per_atom=-3.900 pbc="T T T"
Cl -6.6225 0.5701 3.7957
Cl -9.9417 -1.2681 3.6381
Cl -7.4353 -1.6288 0.8081
Cl -10.6545 0.3089 0.2578
Cl -7.3353 2.1471 0.4154
Cl -9.8417 2.5077 3.2454
Mo 0.0000 0.0000 0.0000
Na -8.6385 0.4395 2.0268
Tl -4.3192 0.2197 1.0134
Tl -12.9577 0.6592 3.0401

28
Lattice="-2.8520 0.1883 -6.5860 1.4352 -6.3090 3.1113 -15.9982 -0.2259 6.9214" Properties=species:S:1:pos:R:3 comment="Rb3Mo2Cl9 | the Open Quantum Materials Database | PBE-GGA | relaxed" energy_ev_per_atom=-4.325 pbc="T T T"
Cl -2.2210 -1.0536 -1.1121
Cl -3.5835 -0.9637 -4.2585
Cl -2.8979 -3.9778 -2.7720
Cl -5.4256 0.0365 -1.5627
Cl -4.7084 -3.1163 -0.0079
Cl -6.1336 -3.0222 -3.2990
Cl -7.9413 -4.0490 -0.5901
Cl -7.2644 -1.1249 1.0699
Cl -8.6269 -1.0349 -2.0765
Cl -8.7882 -5.3117 5.5232
Cl -10.1507 -5.2217 2.3768
Cl -9.4738 -2.2976 4.0368
Cl -11.2815 -3.3244 6.7457
Cl -12.7067 -3.2303 3.4546
Cl -11.9895 -6.3831 5.0094
Cl -14.5172 -2.3689 6.2187
Cl -13.8316 -5.3829 7.7052
Cl -15.1941 -5.2930 4.5588
Mo -4.1540 -2.0162 -2.1720
Mo -6.6910 -2.0520 -1.0744
Mo -10.7241 -4.2946 4.5211
Mo -13.2611 -4.3304 5.6187
Rb -1.1215 -4.1589 0.3667
Rb -3.9996 -0.0565 1.7303
Rb -6.8654 -4.2400 2.8517
Rb -10.5497 -2.1066 0.5950
Rb -11.9987 -0.1694 5.1910
Rb -16.2935 -2.1877 3.0800

24
Lattice="6.2092 0.0000 0.0079 0.0000 7.3221 0.0000 -5.9096 0.0000 12.1694" Properties=species:S:1:pos:R:3 comment="MoS2Cl3 | the Open Quantum Materials Database | PBE-GGA | relaxed" energy_ev_per_atom=-4.770 pbc="T T T"
Cl 0.8967 1.1148 1.1016
Cl 0.2375 4.2284 1.4453
Cl 3.9394 6.1346 1.7658
Cl -0.6850 2.4736 4.3268
Cl 3.0169 0.5674 4.6474
Cl 2.3577 4.7758 4.9911
Cl -2.0581 2.5462 7.1863
Cl -2.7173 6.7547 7.5299
Cl 0.9846 4.8485 7.8505
Cl -3.6399 1.1875 10.4115
Cl 0.0621 3.0937 10.7321
Cl -0.5971 6.2073 11.0758
Mo 4.3265 4.3830 0.0783
Mo -1.0722 0.7219 6.0143
Mo 1.3717 6.6001 6.1630
Mo -4.0270 2.9391 12.0990
S 3.9937 1.9988 0.6304
S 3.2139 3.2715 1.9520
S 0.0404 6.9325 4.1406
S -0.7394 5.6599 5.4622
S 1.0389 1.6622 6.7151
S 0.2591 0.3896 8.0367
S -2.9144 4.0506 10.2253
S -3.6942 5.3233 11.5469